Computed, not measured: a relaxed structure of K3Sm2TlS6 at the PBE level of DFT.

It has space group C2/m (No. 12), with a = 7.1194 Å, b = 12.3284 Å, c = 7.8013 Å, α = 90.00°, β = 107.68° and γ = 90.00°. The asymmetric unit holds K at (0.0000, 0.0000, 0.0000), K at (0.0000, 0.3347, 0.0000), Sm at (0.0000, 0.1668, 0.5000), Tl at (0.0000, 0.5000, 0.5000), S at (0.2348, 0.3341, 0.7068) and S at (0.2370, 0.0000, 0.7063).

As for the formation energy (no corrections): -16.8 eV/f.u. Its total energy is -4.725 eV/atom. As for the theoretical density: 4.15 g/cm3.

Computed, not measured: a relaxed structure of Ca2Pd2Au at the PBE level of DFT.

It has space group I4/mmm (No. 139), with a = 3.7854 Å, b = 3.7854 Å, c = 16.3112 Å, α = 90.00°, β = 90.00° and γ = 90.00°. The asymmetric unit holds Ca at (0.0000, 0.0000, 0.1107), Pd at (0.0000, 0.5000, 0.2500) and Au at (0.0000, 0.0000, 0.5000).

As for the calculated formation energy: -0.54 eV/atom. Its total energy is -4.072 eV/atom. As for the theoretical density: 6.96 g/cm3. For the polymorph energy (0 for the lowest one), the calculation gives 0.1955 eV/atom.

Computed, not measured: a relaxed structure of DyLuBeAu at the PBE level of DFT.

It has space group F-43m (No. 216), with a = 6.9839 Å, b = 6.9839 Å, c = 6.9839 Å, α = 90.00°, β = 90.00° and γ = 90.00°. The asymmetric unit holds Dy at (0.0000, 0.0000, 0.0000), Lu at (0.0000, 0.0000, 0.5000), Be at (0.2500, 0.2500, 0.7500) and Au at (0.2500, 0.2500, 0.2500).

As for the calculated formation energy: -0.36 eV/atom. Its total energy is -4.388 eV/atom. As for the theoretical density: 10.60 g/cm3.

Computed, not measured: a relaxed structure of RbCd3Hg9 at the PBE level of DFT.

It has space group C2/m (No. 12), with a = 6.0956 Å, b = 15.6123 Å, c = 8.1721 Å, α = 90.00°, β = 110.00° and γ = 90.00°. The asymmetric unit holds Rb at (0.0000, 0.0000, 0.0000), Cd at (0.0000, 0.5000, 0.5000), Cd at (0.2500, 0.2500, 0.0000), Hg at (0.0000, 0.0000, 0.5000), Hg at (0.0981, 0.3919, 0.2136) and Hg at (0.1713, 0.1778, 0.3530).

As for the calculated formation energy: -0.07 eV/atom. Its total energy is -0.562 eV/atom. As for the theoretical density: 10.13 g/cm3.